CePa2CoO8: relaxed, PBE with a Hubbard U.

Size of the total moment (μB/cell): 3.0
E (eV per cell): -107.13
V (Å³/cell): 155

Cell lengths 3.804, 5.372, 7.592 Å; angles 85.78, 90.00, 89.96 degrees
Sites, in units of the cell vectors:
Ce: 0.000 0.000 0.000
Pa: 0.500 0.472 0.262
Pa: 0.500 0.528 0.738
Co: 0.000 0.000 0.500
O: 0.001 0.211 0.264
O: 0.001 0.309 0.769
O: 0.498 0.742 0.481
O: 0.500 0.254 0.010
O: 0.500 0.746 0.990
O: 0.502 0.258 0.519
O: 0.999 0.691 0.231
O: 0.999 0.789 0.736